Below is a relaxed structure of FeCo4H3, with properties calculated at the GGA-PBE level.

Computed properties:
The calculation puts the spin magnetization at 7.8 μB per formula unit. For the density of states at the Fermi level, the calculation gives 0.680 states/eV/atom. For the electronic total energy, the calculation gives -47.03 eV per formula unit.

Cell lengths 4.495, 4.902, 6.624 Å; angles 108.67, 90.00, 117.29 degrees
Site moments in Bohr magnetons follow the coordinates.
Fractional positions:
H 0.296 0.592 0.585  -0.02
H 0.911 0.811 0.787  -0.02
H 0.691 0.390 0.893  -0.02
H 0.296 0.592 0.085  -0.02
H 0.700 0.390 0.393  -0.02
H 0.900 0.811 0.287  -0.02
Co 0.070 0.802 0.538  1.37
Co 0.732 0.802 0.038  1.37
Co 0.134 0.598 0.836  1.35
Co 0.463 0.598 0.336  1.35
Co 0.933 0.197 0.438  1.43
Co 0.526 0.390 0.637  1.37
Co 0.263 0.197 0.938  1.43
Co 0.864 0.390 0.137  1.37
Fe 0.335 0.001 0.236  2.48
Fe 0.666 0.001 0.736  2.48